# 1
# TbPtNO PBE relaxed
# Energy   -7.034 eV per atom
# Energy above the most stable polymorph in this dataset   309.1 meV/atom
data_TbPtNO
_cell_length_a 3.8809
_cell_length_b 3.8809
_cell_length_c 7.4848
_cell_angle_alpha 90.00
_cell_angle_beta 90.00
_cell_angle_gamma 90.00
_space_group_name_H-M_alt 'P 4/n m m'
_space_group_IT_number 129
loop_
_space_group_symop_operation_xyz
'x,y,z'
'-x,-y,-z'
'-y+1/2,x,z'
'y+1/2,-x,-z'
'-x+1/2,-y+1/2,z'
'x+1/2,y+1/2,-z'
'y,-x+1/2,z'
'-y,x+1/2,-z'
'x+1/2,-y,-z'
'-x+1/2,y,z'
'-y,-x,-z'
'y,x,z'
'-x,y+1/2,-z'
'x,-y+1/2,z'
'y+1/2,x+1/2,-z'
'-y+1/2,-x+1/2,z'
loop_
_atom_site_label
_atom_site_fract_x
_atom_site_fract_y
_atom_site_fract_z
Tb1 0.2500 0.2500 0.1492
Pt1 0.2500 0.7500 0.5000
N1 0.2500 0.2500 0.6589
O1 0.2500 0.7500 0.0000

***

# 2
# TbPtNO PBE relaxed
# Energy   -7.088 eV per atom
# Energy above the most stable polymorph in this dataset   255.2 meV/atom
data_TbPtNO
_cell_length_a 3.7423
_cell_length_b 6.3217
_cell_length_c 5.1964
_cell_angle_alpha 90.00
_cell_angle_beta 90.00
_cell_angle_gamma 90.00
_space_group_name_H-M_alt 'P m c 21'
_space_group_IT_number 26
loop_
_space_group_symop_operation_xyz
'x,y,z'
'-x,-y,z+1/2'
'-x,y,z'
'x,-y,z+1/2'
loop_
_atom_site_label
_atom_site_fract_x
_atom_site_fract_y
_atom_site_fract_z
Tb1 0.0000 0.2503 0.0000
Pt1 0.5000 0.1563 0.4996
N1 0.0000 0.1596 0.4931
O1 0.5000 0.4030 0.9236

***

# 3
# TbPtNO PBE relaxed
# Energy   -6.904 eV per atom
# Energy above the most stable polymorph in this dataset   439.3 meV/atom
data_TbPtNO
_cell_length_a 3.4425
_cell_length_b 3.4425
_cell_length_c 4.4598
_cell_angle_alpha 90.00
_cell_angle_beta 90.00
_cell_angle_gamma 90.00
_space_group_name_H-M_alt 'P 4/m m m'
_space_group_IT_number 123
_space_group_name_Hall '-P 4 2'
loop_
_atom_site_label
_atom_site_fract_x
_atom_site_fract_y
_atom_site_fract_z
Tb1 0.0000 0.0000 0.0000
Pt1 0.5000 0.5000 0.5000
N1 0.5000 0.5000 0.0000
O1 0.0000 0.0000 0.5000

***

# 4
# TbPtNO PBE relaxed
# Energy   -7.343 eV per atom
# Energy above the most stable polymorph in this dataset   0.0 meV/atom
data_TbPtNO
_cell_length_a 6.1148
_cell_length_b 7.5144
_cell_length_c 5.3814
_cell_angle_alpha 90.00
_cell_angle_beta 90.00
_cell_angle_gamma 90.00
_space_group_name_H-M_alt 'P c a 21'
_space_group_IT_number 29
loop_
_space_group_symop_operation_xyz
'x,y,z'
'-x,-y,z+1/2'
'-x+1/2,y,z+1/2'
'x+1/2,-y,z'
loop_
_atom_site_label
_atom_site_fract_x
_atom_site_fract_y
_atom_site_fract_z
Tb1 0.0062 0.1351 0.0000
Pt1 0.1730 0.4279 0.6109
N1 0.0357 0.3926 0.2758
O1 0.2468 0.9878 0.2449